# 1
DFT (PBE) results for a relaxed YP2Pb2 crystal.

Geometry as POSCAR:
```
YP2Pb2
1.0
7.574 0.000 0.000
0.000 7.574 0.000
0.000 0.000 4.370
Pb Y P
4 2 4
Direct
0.155 0.655 0.500
0.655 0.845 0.500
0.845 0.345 0.500
0.345 0.155 0.500
0.000 0.000 0.000
0.500 0.500 0.000
0.333 0.833 0.000
0.833 0.667 0.000
0.667 0.167 0.000
0.167 0.333 0.000
```

Calculated values
* energy relative to the elements: -274 meV per atom
* spin magnetization: 0.00 μB/cell
* energy: -5.2143 eV per atom
* symmetry: P4/mbm, No. 127

***

# 2
DFT (PBE) results for a relaxed NpUS3 crystal.

Geometry as POSCAR:
```
NpUS3
1.0
-3.161 -0.613 2.172
-2.063 -5.371 -4.519
7.553 -9.822 8.225
Np U S
4 4 12
Direct
0.750 0.889 0.789
0.250 0.111 0.211
0.750 0.389 0.711
0.250 0.611 0.289
0.250 0.258 0.959
0.250 0.758 0.541
0.750 0.242 0.459
0.750 0.742 0.041
0.250 0.376 0.571
0.750 0.835 0.221
0.750 0.495 0.896
0.750 0.995 0.604
0.750 0.624 0.429
0.250 0.005 0.396
0.250 0.876 0.929
0.750 0.335 0.279
0.250 0.665 0.721
0.250 0.165 0.779
0.750 0.124 0.071
0.250 0.505 0.104
```

Calculated values
* ΔE to the lowest computed polymorph: 0.000 eV/atom
* spin magnetization: 27.15 μB/cell
* formation energy from raw total energies: -142 kJ per mole of atoms
* energy: -8.7951 eV per atom
* symmetry: Pnma, No. 62

***

# 3
DFT (PBE) results for a relaxed Li2La3Cd7 crystal.

Geometry as POSCAR:
```
Li2La3Cd7
1.0
5.755 0.000 1.801
2.596 5.137 1.801
0.017 0.010 10.042
Li La Cd
2 3 7
Direct
0.667 0.667 0.000
0.333 0.333 0.000
0.000 0.000 0.000
0.861 0.861 0.418
0.139 0.139 0.582
0.500 0.500 0.500
0.924 0.420 0.237
0.420 0.924 0.237
0.420 0.420 0.237
0.076 0.580 0.763
0.580 0.580 0.763
0.580 0.076 0.763
```

Calculated values
* energy relative to the elements: -292 meV per atom
* spin magnetization: 0.00 μB/cell
* energy: -2.3771 eV per atom
* symmetry: R-3m, No. 166